[1]
Material: CrAg2O4
Method: DFT, GGA+U
State: optimized geometry

Output
* ΔE to the lowest computed polymorph: 0.000 eV/atom

Unit cell a=10.254 b=7.039 c=5.660 alpha=90.00 beta=90.00 gamma=90.00
Positions (direct):
Cr 0.181 0.250 0.037
Cr 0.319 0.750 0.537
Cr 0.681 0.250 0.463
Cr 0.819 0.750 0.963
Ag 0.000 0.000 0.500
Ag 0.000 0.500 0.500
Ag 0.141 0.750 0.019
Ag 0.359 0.250 0.519
Ag 0.500 0.000 0.000
Ag 0.500 0.500 0.000
Ag 0.641 0.750 0.481
Ag 0.859 0.250 0.981
O 0.113 0.056 0.158
O 0.113 0.444 0.158
O 0.153 0.250 0.746
O 0.156 0.750 0.597
O 0.344 0.250 0.097
O 0.347 0.750 0.246
O 0.387 0.556 0.658
O 0.387 0.944 0.658
O 0.613 0.056 0.342
O 0.613 0.444 0.342
O 0.653 0.250 0.754
O 0.656 0.750 0.903
O 0.844 0.250 0.403
O 0.847 0.750 0.254
O 0.887 0.556 0.842
O 0.887 0.944 0.842

[2]
Material: CrAg2O4
Method: DFT, GGA+U
State: optimized geometry

Output
* ΔE to the lowest computed polymorph: 0.004 eV/atom

Unit cell a=5.714 b=5.709 c=5.507 alpha=61.22 beta=61.14 gamma=57.64
Positions (direct):
Cr 0.000 0.000 0.000
Ag 0.250 0.250 0.250
Ag 0.750 0.750 0.750
O 0.061 0.707 0.939
O 0.293 0.939 0.061
O 0.707 0.061 0.293
O 0.939 0.293 0.707

[3]
Material: CrAgO2
Method: DFT, GGA+U
State: optimized geometry

Output
* raw total energy: -0.2357 hartree per atom

Unit cell a=3.062 b=3.062 c=18.739 alpha=90.00 beta=90.00 gamma=120.00
Positions (direct):
Cr 0.000 0.000 0.000
Cr 0.333 0.667 0.667
Cr 0.667 0.333 0.333
Ag 0.000 0.000 0.500
Ag 0.333 0.667 0.167
Ag 0.667 0.333 0.833
O 0.000 0.000 0.387
O 0.000 0.000 0.613
O 0.333 0.667 0.053
O 0.333 0.667 0.280
O 0.667 0.333 0.720
O 0.667 0.333 0.947

[4]
Material: Cr3AgO9
Method: DFT, GGA+U
State: optimized geometry

Output
* raw total energy: -0.2334 hartree per atom

Unit cell a=7.364 b=7.364 c=7.955 alpha=90.00 beta=90.00 gamma=94.84
Positions (direct):
Cr 0.185 0.767 0.538
Cr 0.203 0.203 0.500
Cr 0.233 0.815 0.962
Cr 0.767 0.185 0.462
Cr 0.797 0.797 0.000
Cr 0.815 0.233 0.038
Ag 0.322 0.322 0.000
Ag 0.678 0.678 0.500
O 0.009 0.336 0.975
O 0.019 0.776 0.071
O 0.165 0.835 0.750
O 0.224 0.981 0.429
O 0.256 0.331 0.340
O 0.331 0.256 0.660
O 0.336 0.009 0.025
O 0.346 0.635 0.988
O 0.365 0.654 0.512
O 0.635 0.346 0.012
O 0.654 0.365 0.488
O 0.664 0.991 0.525
O 0.669 0.744 0.160
O 0.744 0.669 0.840
O 0.776 0.019 0.929
O 0.835 0.165 0.250
O 0.981 0.224 0.571
O 0.991 0.664 0.475

[5]
Material: CrAgO2
Method: DFT, GGA+U
State: optimized geometry

Output
* raw total energy: -0.2323 hartree per atom

Unit cell a=3.028 b=3.028 c=18.511 alpha=90.00 beta=90.00 gamma=120.00
Positions (direct):
Cr 0.000 0.000 0.000
Cr 0.333 0.667 0.667
Cr 0.667 0.333 0.333
Ag 0.000 0.000 0.838
Ag 0.333 0.667 0.505
Ag 0.667 0.333 0.172
O 0.000 0.000 0.276
O 0.000 0.000 0.721
O 0.333 0.667 0.387
O 0.333 0.667 0.943
O 0.667 0.333 0.054
O 0.667 0.333 0.609

[6]
Material: Cr2AgO
Method: DFT, GGA+U
State: optimized geometry

Output
* raw total energy: -0.2203 hartree per atom

Unit cell a=5.629 b=5.629 c=10.264 alpha=90.00 beta=90.00 gamma=90.00
Positions (direct):
Cr 0.088 0.250 0.125
Cr 0.250 0.588 0.375
Cr 0.250 0.912 0.875
Cr 0.412 0.250 0.625
Cr 0.588 0.750 0.625
Cr 0.750 0.088 0.875
Cr 0.750 0.412 0.375
Cr 0.912 0.750 0.125
Ag 0.000 0.000 0.500
Ag 0.000 0.500 0.750
Ag 0.500 0.000 0.250
Ag 0.500 0.500 0.000
O 0.000 0.000 0.000
O 0.000 0.500 0.250
O 0.500 0.000 0.750
O 0.500 0.500 0.500

[7]
Material: CrAgO2
Method: DFT, GGA+U
State: optimized geometry

Output
* raw total energy: -0.2192 hartree per atom

Unit cell a=4.789 b=4.789 c=10.216 alpha=90.00 beta=90.00 gamma=90.00
Positions (direct):
Cr 0.000 0.000 0.000
Cr 0.000 0.500 0.250
Cr 0.500 0.000 0.750
Cr 0.500 0.500 0.500
Ag 0.000 0.000 0.500
Ag 0.000 0.500 0.750
Ag 0.500 0.000 0.250
Ag 0.500 0.500 0.000
O 0.165 0.250 0.125
O 0.250 0.665 0.375
O 0.250 0.835 0.875
O 0.335 0.250 0.625
O 0.665 0.750 0.625
O 0.750 0.165 0.875
O 0.750 0.335 0.375
O 0.835 0.750 0.125

[8]
Material: CrAgO2
Method: DFT, GGA+U
State: optimized geometry

Output
* raw total energy: -0.1971 hartree per atom

Unit cell a=3.181 b=3.181 c=19.543 alpha=90.00 beta=90.00 gamma=120.00
Positions (direct):
Cr 0.000 0.000 0.000
Cr 0.333 0.667 0.667
Cr 0.667 0.333 0.333
Ag 0.000 0.000 0.500
Ag 0.333 0.667 0.167
Ag 0.667 0.333 0.833
O 0.000 0.000 0.088
O 0.000 0.000 0.912
O 0.333 0.667 0.579
O 0.333 0.667 0.755
O 0.667 0.333 0.245
O 0.667 0.333 0.421

[9]
Material: Cr5Ag3O12
Method: DFT, GGA+U
State: optimized geometry

Output
* raw total energy: -0.2351 hartree per atom

Unit cell a=10.839 b=10.839 c=10.839 alpha=109.47 beta=109.47 gamma=109.47
Positions (direct):
Cr 0.000 0.000 0.000
Cr 0.000 0.000 0.500
Cr 0.000 0.500 0.000
Cr 0.000 0.500 0.500
Cr 0.125 0.750 0.875
Cr 0.125 0.875 0.250
Cr 0.250 0.125 0.875
Cr 0.250 0.625 0.375
Cr 0.375 0.250 0.625
Cr 0.375 0.625 0.750
Cr 0.500 0.000 0.000
Cr 0.500 0.000 0.500
Cr 0.500 0.500 0.000
Cr 0.500 0.500 0.500
Cr 0.625 0.375 0.250
Cr 0.625 0.750 0.375
Cr 0.750 0.375 0.625
Cr 0.750 0.875 0.125
Cr 0.875 0.125 0.750
Cr 0.875 0.250 0.125
Ag 0.125 0.250 0.375
Ag 0.125 0.375 0.750
Ag 0.250 0.375 0.125
Ag 0.250 0.875 0.625
Ag 0.375 0.125 0.250
Ag 0.375 0.750 0.125
Ag 0.625 0.250 0.875
Ag 0.625 0.875 0.750
Ag 0.750 0.125 0.375
Ag 0.750 0.625 0.875
Ag 0.875 0.625 0.250
Ag 0.875 0.750 0.625
O 0.007 0.198 0.107
O 0.007 0.309 0.901
O 0.091 0.698 0.691
O 0.091 0.893 0.401
O 0.099 0.607 0.409
O 0.099 0.993 0.691
O 0.107 0.007 0.198
O 0.107 0.599 0.909
O 0.191 0.198 0.591
O 0.191 0.493 0.599
O 0.198 0.107 0.007
O 0.198 0.591 0.191
O 0.302 0.309 0.909
O 0.302 0.493 0.393
O 0.309 0.901 0.007
O 0.309 0.909 0.302
O 0.393 0.302 0.493
O 0.393 0.591 0.901
O 0.401 0.091 0.893
O 0.401 0.809 0.507
O 0.409 0.099 0.607
O 0.409 0.809 0.802
O 0.493 0.393 0.302
O 0.493 0.599 0.191
O 0.507 0.401 0.809
O 0.507 0.607 0.698
O 0.591 0.191 0.198
O 0.591 0.901 0.393
O 0.599 0.191 0.493
O 0.599 0.909 0.107
O 0.607 0.409 0.099
O 0.607 0.698 0.507
O 0.691 0.091 0.698
O 0.691 0.099 0.993
O 0.698 0.507 0.607
O 0.698 0.691 0.091
O 0.802 0.409 0.809
O 0.802 0.893 0.993
O 0.809 0.507 0.401
O 0.809 0.802 0.409
O 0.893 0.401 0.091
O 0.893 0.993 0.802
O 0.901 0.007 0.309
O 0.901 0.393 0.591
O 0.909 0.107 0.599
O 0.909 0.302 0.309
O 0.993 0.691 0.099
O 0.993 0.802 0.893

[10]
Material: CrAgP2O
Method: DFT, GGA+U
State: optimized geometry

Output
* ΔE to the lowest computed polymorph: 1.140 eV/atom

Unit cell a=4.832 b=4.832 c=3.941 alpha=90.00 beta=90.00 gamma=90.00
Positions (direct):
Cr 0.000 0.000 0.000
Ag 0.500 0.500 0.500
P 0.000 0.500 0.500
P 0.500 0.000 0.500
O 0.500 0.500 0.000

[11]
Material: CrAgP2O
Method: DFT, GGA+U
State: optimized geometry

Output
* ΔE to the lowest computed polymorph: 0.000 eV/atom

Unit cell a=4.903 b=4.903 c=3.485 alpha=90.00 beta=90.00 gamma=90.00
Positions (direct):
Cr 0.000 0.000 0.000
Ag 0.500 0.500 0.500
P 0.000 0.500 0.000
P 0.500 0.000 0.000
O 0.000 0.000 0.500

[12]
Material: PaCr2AgO8
Method: DFT, GGA+U
State: optimized geometry

Output
* raw total energy: -0.2700 hartree per atom

Unit cell a=6.007 b=6.007 c=6.007 alpha=107.05 beta=107.05 gamma=114.42
Positions (direct):
Pa 0.000 0.000 0.000
Cr 0.500 0.500 0.000
Cr 0.750 0.250 0.500
Ag 0.250 0.750 0.500
O 0.336 0.156 0.820
O 0.336 0.516 0.180
O 0.385 0.095 0.290
O 0.484 0.664 0.820
O 0.804 0.095 0.710
O 0.844 0.664 0.180
O 0.905 0.196 0.290
O 0.905 0.615 0.710

[13]
Material: PaCrAg2O8
Method: DFT, GGA+U
State: optimized geometry

Output
* raw total energy: -0.2310 hartree per atom

Unit cell a=6.658 b=6.658 c=6.658 alpha=122.69 beta=122.69 gamma=85.40
Positions (direct):
Pa 0.000 0.000 0.000
Cr 0.250 0.750 0.500
Ag 0.500 0.500 0.000
Ag 0.750 0.250 0.500
O 0.347 0.063 0.716
O 0.347 0.631 0.284
O 0.369 0.653 0.716
O 0.371 0.101 0.270
O 0.832 0.101 0.730
O 0.899 0.168 0.270
O 0.899 0.629 0.730
O 0.937 0.653 0.284

[14]
Material: PaCrAg2O6
Method: DFT, GGA+U
State: optimized geometry

Output
* raw total energy: -0.2527 hartree per atom

Unit cell a=5.635 b=5.635 c=5.567 alpha=119.48 beta=119.48 gamma=62.73
Positions (direct):
Pa 0.000 0.000 0.000
Cr 0.500 0.500 0.500
Ag 0.248 0.248 0.723
Ag 0.752 0.752 0.277
O 0.202 0.677 0.675
O 0.268 0.268 0.154
O 0.323 0.798 0.325
O 0.677 0.202 0.675
O 0.732 0.732 0.846
O 0.798 0.323 0.325

[15]
Material: Pa2CrAgO8
Method: DFT, GGA+U
State: optimized geometry

Output
* raw total energy: -0.2867 hartree per atom

Unit cell a=5.154 b=5.154 c=7.052 alpha=90.00 beta=90.00 gamma=120.00
Positions (direct):
Pa 0.333 0.667 0.348
Pa 0.667 0.333 0.652
Cr 0.000 0.000 0.500
Ag 0.000 0.000 0.000
O 0.172 0.343 0.647
O 0.172 0.828 0.647
O 0.333 0.667 0.083
O 0.343 0.172 0.353
O 0.657 0.828 0.647
O 0.667 0.333 0.917
O 0.828 0.172 0.353
O 0.828 0.657 0.353

[16]
Material: PaCrAgO6
Method: DFT, GGA+U
State: optimized geometry

Output
* raw total energy: -0.2678 hartree per atom

Unit cell a=5.241 b=5.241 c=4.816 alpha=90.00 beta=90.00 gamma=120.00
Positions (direct):
Pa 0.000 0.000 0.000
Cr 0.667 0.333 0.500
Ag 0.333 0.667 0.500
O 0.348 0.020 0.733
O 0.348 0.329 0.267
O 0.671 0.020 0.267
O 0.671 0.652 0.733
O 0.980 0.329 0.733
O 0.980 0.652 0.267

[17]
Material: CrAg2PbO4
Method: DFT, GGA+U
State: optimized geometry

Output
* raw total energy: -0.1992 hartree per atom

Unit cell a=6.329 b=6.012 c=5.134 alpha=68.68 beta=62.24 gamma=49.08
Positions (direct):
Cr 0.000 0.000 0.000
Ag 0.269 0.269 0.231
Ag 0.769 0.769 0.731
Pb 0.551 0.551 0.449
O 0.131 0.668 0.869
O 0.291 0.914 0.086
O 0.668 0.131 0.332
O 0.914 0.291 0.709

[18]
Material: CrAgPbO4
Method: DFT, GGA+U
State: optimized geometry

Output
* raw total energy: -0.2151 hartree per atom

Unit cell a=5.720 b=5.834 c=7.203 alpha=90.00 beta=108.56 gamma=90.00
Positions (direct):
Cr 0.024 0.250 0.333
Cr 0.976 0.750 0.667
Ag 0.399 0.750 0.434
Ag 0.601 0.250 0.566
Pb 0.211 0.250 0.943
Pb 0.789 0.750 0.057
O 0.111 0.018 0.205
O 0.111 0.482 0.205
O 0.206 0.250 0.570
O 0.285 0.750 0.723
O 0.715 0.250 0.277
O 0.794 0.750 0.430
O 0.889 0.518 0.795
O 0.889 0.982 0.795

[19]
Material: CrAgPbO5
Method: DFT, GGA+U
State: optimized geometry

Output
* raw total energy: -0.2112 hartree per atom

Unit cell a=6.190 b=6.190 c=8.124 alpha=107.15 beta=107.15 gamma=96.06
Positions (direct):
Cr 0.147 0.853 0.750
Cr 0.853 0.147 0.250
Ag 0.183 0.817 0.250
Ag 0.817 0.183 0.750
Pb 0.500 0.500 0.000
Pb 0.500 0.500 0.500
O 0.136 0.218 0.378
O 0.199 0.697 0.888
O 0.218 0.136 0.878
O 0.303 0.801 0.612
O 0.420 0.580 0.250
O 0.580 0.420 0.750
O 0.697 0.199 0.388
O 0.782 0.864 0.122
O 0.801 0.303 0.112
O 0.864 0.782 0.622